DFT (GGA-PBE) results for crystalline Sr5Ge2Sb at its relaxed geometry.

Calculated values
**Density**: 4.29 g/cm3
**ΔE_f (raw)**: -0.725 eV/atom
**DFT total energy**: -0.1266 Ha/atom
**Volume**: 546 Å³/cell

POSCAR file:
```
Sr5Ge2Sb
1.0
7.5576 0.0000 -3.5676
-1.6841 7.3676 -3.5676
0.0035 0.0045 9.7963
Ge Sb Sr
4 2 10
Cartesian
4.4632 0.8585 -2.6152 Ge
0.2349 2.8252 -1.7838 Ge
1.4103 6.5090 -4.5199 Ge
5.6386 4.5423 -5.3514 Ge
4.4069 5.5279 -0.4532 Sb
1.4701 1.8441 3.1144 Sb
1.3861 0.2224 6.2651 Sr
-0.6647 3.9062 5.0519 Sr
0.0000 0.0000 0.0000 Sr
3.0324 2.2874 -0.0363 Sr
0.9815 5.9712 -1.2495 Sr
4.4910 7.1496 -3.6039 Sr
2.9368 3.6838 -3.5676 Sr
6.5418 3.4658 -2.3907 Sr
2.8447 5.0846 2.6975 Sr
4.8955 1.4008 3.9107 Sr
```